(1)
# PBE Pr3Tm2Th2, relaxed
data_Pr3Tm2Th2
_cell_length_a 5.5928
_cell_length_b 3.4583
_cell_length_c 12.4987
_cell_angle_alpha 90.00
_cell_angle_beta 102.92
_cell_angle_gamma 90.00
_space_group_name_H-M_alt 'P 1 2/m 1'
_space_group_IT_number 10
_space_group_name_Hall '-P 2y'
loop_
_atom_site_label
_atom_site_type_symbol
_atom_site_fract_x
_atom_site_fract_y
_atom_site_fract_z
Pr1 Pr 0.0000 0.0000 0.0000
Pr2 Pr 0.2905 0.0000 0.5826
Tm1 Tm 0.4258 0.5000 0.8506
Th1 Th 0.1396 0.0000 0.2803
# energy relative to the elements	172	meV/atom
# final energy	-5.274	eV per atom

***

(2)
# PBE NaH8Se2, relaxed
data_NaH8Se2
_cell_length_a 3.2837
_cell_length_b 7.1567
_cell_length_c 9.3080
_cell_angle_alpha 69.80
_cell_angle_beta 89.96
_cell_angle_gamma 89.99
_space_group_name_H-M_alt 'P -1'
_space_group_IT_number 2
_space_group_name_Hall '-P 1'
loop_
_atom_site_label
_atom_site_type_symbol
_atom_site_fract_x
_atom_site_fract_y
_atom_site_fract_z
Na1 Na 0.0000 0.0000 0.0000
H1 H 0.9999 0.5001 0.0405
H2 H 0.0017 0.7501 0.6497
H3 H 0.0030 0.8602 0.6357
H4 H 0.4991 0.8034 0.3413
Se1 Se 0.4988 0.7011 0.2274
# final energy	-3.302	eV per atom

***

(3)
# PBE RbGaPb, relaxed
data_RbGaPb
_cell_length_a 5.3780
_cell_length_b 13.7389
_cell_length_c 5.9061
_cell_angle_alpha 90.00
_cell_angle_beta 90.00
_cell_angle_gamma 90.00
_space_group_name_H-M_alt 'C m c m'
_space_group_IT_number 63
_space_group_name_Hall '-C 2c 2'
loop_
_atom_site_label
_atom_site_type_symbol
_atom_site_fract_x
_atom_site_fract_y
_atom_site_fract_z
Rb1 Rb 0.0000 0.2246 0.2500
Ga1 Ga 0.0000 0.5000 0.0000
Pb1 Pb 0.0000 0.0557 0.7500
# energy relative to the elements	-17	meV/atom
# final energy	-2.584	eV per atom

***

(4)
# PBE Co2TcN2, relaxed
data_Co2TcN2
_cell_length_a 6.2985
_cell_length_b 6.2985
_cell_length_c 2.4982
_cell_angle_alpha 90.00
_cell_angle_beta 90.00
_cell_angle_gamma 90.00
_space_group_name_H-M_alt 'P 4/m b m'
_space_group_IT_number 127
_space_group_name_Hall '-P 4 2ab'
loop_
_atom_site_label
_atom_site_type_symbol
_atom_site_fract_x
_atom_site_fract_y
_atom_site_fract_z
Co1 Co 0.1273 0.3727 0.0000
Tc1 Tc 0.0000 0.0000 0.0000
N1 N 0.1307 0.6307 0.5000
# formation energy (no corrections)	1.20	eV/atom
# ΔE to the lowest computed polymorph	465	meV per atom
# final energy	-7.046	eV per atom

***

(5)
# PBE GaP2SBr, relaxed
data_GaP2SBr
_cell_length_a 4.8526
_cell_length_b 4.8526
_cell_length_c 4.8753
_cell_angle_alpha 90.00
_cell_angle_beta 90.00
_cell_angle_gamma 90.00
_space_group_name_H-M_alt 'P 4/m m m'
_space_group_IT_number 123
_space_group_name_Hall '-P 4 2'
loop_
_atom_site_label
_atom_site_type_symbol
_atom_site_fract_x
_atom_site_fract_y
_atom_site_fract_z
Ga1 Ga 0.0000 0.0000 0.0000
P1 P 0.0000 0.5000 0.0000
S1 S 0.5000 0.5000 0.5000
Br1 Br 0.0000 0.0000 0.5000
# formation energy (no corrections)	1.00	eV/atom
# ΔE to the lowest computed polymorph	154	meV per atom
# final energy	-2.930	eV per atom

***

(6)
# PBE BiRhSe2, relaxed
data_BiRhSe2
_cell_length_a 4.0296
_cell_length_b 4.0296
_cell_length_c 7.1688
_cell_angle_alpha 90.00
_cell_angle_beta 90.00
_cell_angle_gamma 120.00
_space_group_name_H-M_alt 'P 3 m 1'
_space_group_IT_number 156
_space_group_name_Hall 'P 3 -2"'
loop_
_atom_site_label
_atom_site_type_symbol
_atom_site_fract_x
_atom_site_fract_y
_atom_site_fract_z
Bi1 Bi 0.0000 0.0000 0.0000
Rh1 Rh 0.3333 0.6667 0.4172
Se1 Se 0.3333 0.6667 0.7575
Se2 Se 0.6667 0.3333 0.3195
# formation energy (no corrections)	-0.10	eV/atom
# final energy	-4.654	eV per atom

***

(7)
# PBE SrAgSb, relaxed
data_SrAgSb
_cell_length_a 4.7532
_cell_length_b 4.7532
_cell_length_c 4.5655
_cell_angle_alpha 90.00
_cell_angle_beta 90.00
_cell_angle_gamma 120.00
_space_group_name_H-M_alt 'P -6 m 2'
_space_group_IT_number 187
_space_group_name_Hall 'P -6 2'
loop_
_atom_site_label
_atom_site_type_symbol
_atom_site_fract_x
_atom_site_fract_y
_atom_site_fract_z
Sr1 Sr 0.0000 0.0000 0.0000
Ag1 Ag 0.6667 0.3333 0.5000
Sb1 Sb 0.3333 0.6667 0.5000
# formation energy (no corrections)	-0.70	eV/atom
# final energy	-3.584	eV per atom

***

(8)
# PBE Pm6MgPb2, relaxed
data_Pm6MgPb2
_cell_length_a 9.0942
_cell_length_b 9.0942
_cell_length_c 3.9691
_cell_angle_alpha 90.00
_cell_angle_beta 90.00
_cell_angle_gamma 120.00
_space_group_name_H-M_alt 'P -6 2 m'
_space_group_IT_number 189
_space_group_name_Hall 'P -6 -2'
loop_
_atom_site_label
_atom_site_type_symbol
_atom_site_fract_x
_atom_site_fract_y
_atom_site_fract_z
Pm1 Pm 0.0000 0.2844 0.0000
Pm2 Pm 0.0000 0.6104 0.5000
Mg1 Mg 0.0000 0.0000 0.5000
Pb1 Pb 0.3333 0.6667 0.0000
# energy relative to the elements	-246	meV/atom
# final energy	-4.415	eV per atom

***

(9)
# PBE SrLiP2S, relaxed
data_SrLiP2S
_cell_length_a 5.6244
_cell_length_b 5.6244
_cell_length_c 5.5544
_cell_angle_alpha 90.00
_cell_angle_beta 90.00
_cell_angle_gamma 90.00
_space_group_name_H-M_alt 'P 4/m m m'
_space_group_IT_number 123
_space_group_name_Hall '-P 4 2'
loop_
_atom_site_label
_atom_site_type_symbol
_atom_site_fract_x
_atom_site_fract_y
_atom_site_fract_z
Sr1 Sr 0.0000 0.0000 0.0000
Li1 Li 0.5000 0.5000 0.5000
P1 P 0.0000 0.5000 0.0000
S1 S 0.0000 0.0000 0.5000
# formation energy (no corrections)	0.63	eV/atom
# ΔE to the lowest computed polymorph	831	meV per atom
# final energy	-3.076	eV per atom

***

(10)
# PBE Nb2PWI, relaxed
data_Nb2PWI
_cell_length_a 5.0070
_cell_length_b 5.0070
_cell_length_c 4.7922
_cell_angle_alpha 90.00
_cell_angle_beta 90.00
_cell_angle_gamma 90.00
_space_group_name_H-M_alt 'P 4/m m m'
_space_group_IT_number 123
_space_group_name_Hall '-P 4 2'
loop_
_atom_site_label
_atom_site_type_symbol
_atom_site_fract_x
_atom_site_fract_y
_atom_site_fract_z
Nb1 Nb 0.0000 0.5000 0.0000
P1 P 0.0000 0.0000 0.5000
W1 W 0.5000 0.5000 0.5000
I1 I 0.0000 0.0000 0.0000
# formation energy (no corrections)	2.52	eV/atom
# final energy	-5.489	eV per atom

***

(11)
# PBE CaS4, relaxed
data_CaS4
_cell_length_a 5.4446
_cell_length_b 5.4446
_cell_length_c 5.4446
_cell_angle_alpha 90.00
_cell_angle_beta 90.00
_cell_angle_gamma 90.00
_space_group_name_H-M_alt 'P m -3 m'
_space_group_IT_number 221
_space_group_name_Hall '-P 4 2 3'
loop_
_atom_site_label
_atom_site_type_symbol
_atom_site_fract_x
_atom_site_fract_y
_atom_site_fract_z
Ca1 Ca 0.0000 0.0000 0.0000
S1 S 0.0000 0.0000 0.5000
S2 S 0.5000 0.5000 0.5000
# formation energy (no corrections)	0.66	eV/atom
# ΔE to the lowest computed polymorph	1305	meV per atom
# final energy	-3.040	eV per atom

***

(12)
# PBE LiTiBe4, relaxed
data_LiTiBe4
_cell_length_a 6.3329
_cell_length_b 6.3329
_cell_length_c 6.3329
_cell_angle_alpha 90.00
_cell_angle_beta 90.00
_cell_angle_gamma 90.00
_space_group_name_H-M_alt 'F -4 3 m'
_space_group_IT_number 216
_space_group_name_Hall 'F -4 2 3'
loop_
_atom_site_label
_atom_site_type_symbol
_atom_site_fract_x
_atom_site_fract_y
_atom_site_fract_z
Li1 Li 0.0000 0.0000 0.0000
Ti1 Ti 0.2500 0.2500 0.2500
Be1 Be 0.1231 0.1231 0.6231
# energy relative to the elements	32	meV/atom
# final energy	-4.087	eV per atom

***

(13)
# PBE K3Be2IrO6, relaxed
data_K3Be2IrO6
_cell_length_a 5.4705
_cell_length_b 5.4705
_cell_length_c 6.7268
_cell_angle_alpha 90.00
_cell_angle_beta 90.00
_cell_angle_gamma 120.00
_space_group_name_H-M_alt 'P -3 m 1'
_space_group_IT_number 164
_space_group_name_Hall '-P 3 2"'
loop_
_atom_site_label
_atom_site_type_symbol
_atom_site_fract_x
_atom_site_fract_y
_atom_site_fract_z
K1 K 0.0000 0.0000 0.0000
K2 K 0.3333 0.6667 0.7403
Be1 Be 0.3333 0.6667 0.3313
Ir1 Ir 0.0000 0.0000 0.5000
O1 O 0.1704 0.3408 0.3234
# formation energy (no corrections)	-1.61	eV/atom
# final energy	-5.723	eV per atom

***

(14)
# PBE CuH, relaxed
data_CuH
_cell_length_a 6.6663
_cell_length_b 6.6663
_cell_length_c 2.8024
_cell_angle_alpha 90.00
_cell_angle_beta 90.00
_cell_angle_gamma 120.00
_space_group_name_H-M_alt 'P 63/m'
_space_group_IT_number 176
_space_group_name_Hall '-P 6c'
loop_
_atom_site_label
_atom_site_type_symbol
_atom_site_fract_x
_atom_site_fract_y
_atom_site_fract_z
Cu1 Cu 0.0379 0.6907 0.2500
H1 H 0.1185 0.4453 0.2500
# final energy	-3.592	eV per atom

***

(15)
# PBE Ti4FeN2, relaxed
data_Ti4FeN2
_cell_length_a 3.0035
_cell_length_b 10.2143
_cell_length_c 10.8126
_cell_angle_alpha 90.00
_cell_angle_beta 90.00
_cell_angle_gamma 90.00
_space_group_name_H-M_alt 'C m c m'
_space_group_IT_number 63
_space_group_name_Hall '-C 2c 2'
loop_
_atom_site_label
_atom_site_type_symbol
_atom_site_fract_x
_atom_site_fract_y
_atom_site_fract_z
Ti1 Ti 0.0000 0.0000 0.0000
Ti2 Ti 0.0000 0.2687 0.1095
Ti3 Ti 0.0000 0.4299 0.7500
Fe1 Fe 0.0000 0.1098 0.7500
N1 N 0.0000 0.3659 0.5595
# formation energy (no corrections)	-1.15	eV/atom
# final energy	-9.252	eV per atom

***

(16)
# PBE SmErPt, relaxed
data_SmErPt
_cell_length_a 6.9230
_cell_length_b 6.9230
_cell_length_c 6.9230
_cell_angle_alpha 90.00
_cell_angle_beta 90.00
_cell_angle_gamma 90.00
_space_group_name_H-M_alt 'F -4 3 m'
_space_group_IT_number 216
_space_group_name_Hall 'F -4 2 3'
loop_
_atom_site_label
_atom_site_type_symbol
_atom_site_fract_x
_atom_site_fract_y
_atom_site_fract_z
Sm1 Sm 0.0000 0.0000 0.0000
Er1 Er 0.0000 0.0000 0.5000
Pt1 Pt 0.2500 0.2500 0.2500
# energy relative to the elements	-834	meV/atom
# ΔE to the lowest computed polymorph	76	meV per atom
# final energy	-5.941	eV per atom

***

(17)
# PBE Ac2CoP2N6, relaxed
data_Ac2CoP2N6
_cell_length_a 5.5488
_cell_length_b 5.5488
_cell_length_c 15.6595
_cell_angle_alpha 90.00
_cell_angle_beta 90.00
_cell_angle_gamma 120.00
_space_group_name_H-M_alt 'R -3 m'
_space_group_IT_number 166
_space_group_name_Hall '-R 3 2"'
loop_
_atom_site_label
_atom_site_type_symbol
_atom_site_fract_x
_atom_site_fract_y
_atom_site_fract_z
Ac1 Ac 0.0000 0.0000 0.2277
Co1 Co 0.0000 0.0000 0.0000
P1 P 0.0000 0.0000 0.4285
N1 N 0.0012 0.5006 0.7457
# formation energy (no corrections)	-0.60	eV/atom
# final energy	-7.520	eV per atom